YTiOs2 | GGA-PBEsol | optimized geometry

Cell lengths 4.5329, 4.5329, 4.5329 Å; angles 60.00, 60.00, 60.00 degrees
Last column: nearest neighbours and their distance in Å.
Atoms (fractional coordinates):
Y 0.5000 0.5000 0.5000  8 Os 2.78
Ti 0.0000 0.0000 0.0000  8 Os 2.78
Os 0.7500 0.7500 0.7500  4 Ti 2.78, 4 Y 2.78
Os 0.2500 0.2500 0.2500  4 Ti 2.78, 4 Y 2.78

Space-group type: Fm-3m
DOS at the Fermi energy, states/eV per atom: 0.6337
Crystal system: cubic
ΔH_f (0 K), meV per atom: -202.0
ρ, g cm⁻³: 13.041
Spin magnetization, μB per atom: 0.00